Record 1
The following is a DFT calculation (PBE) of Li6Ac2Pb3 after structural relaxation.

Computed properties:
The total energy is -3.104 eV/atom. The value obtained for the energy of formation from the pure elements is -0.302 eV per atom. The calculation puts the density at 6.24 g/cm³. As for the symmetry: No. 189.

Unit cell a=4.5753 b=8.6606 c=8.6606 alpha=120.00 beta=90.00 gamma=90.00
With the nearest neighbours (Å) after each atom.
Element x y z (fractional)
Ac1 0.0000 0.6667 0.3333  6 Pb 3.56, 9 Li 3.62-3.86
Pb1 0.5000 0.0000 0.6242  5 Li 2.76-2.94
Ac2 0.0000 0.3333 0.6667  6 Pb 3.56, 9 Li 3.62-3.86
Pb2 0.5000 0.6242 0.0000  5 Li 2.76-2.94
Pb3 0.5000 0.3758 0.3758  5 Li 2.76-2.94
Li1 0.5000 0.7144 0.7144  3 Pb 2.93-2.94, 4 Li 3.17
Li2 0.5000 0.2856 0.0000  3 Pb 2.93-2.94, 4 Li 3.17
Li3 0.0000 0.8016 0.0000  2 Pb 2.76, 2 Li 2.98
Li4 0.5000 0.0000 0.2856  3 Pb 2.93-2.94, 4 Li 3.17
Li5 0.0000 0.1984 0.1984  2 Pb 2.76, 2 Li 2.98
Li6 0.0000 0.0000 0.8016  2 Pb 2.76, 2 Li 2.98

=====

Record 2
The following is a DFT calculation (PBE) of YSbBr after structural relaxation.

Computed properties:
The total energy is -5.074 eV/atom. The value obtained for the excess energy over the best structure of this formula in the dataset is 0 meV/atom. The calculation puts the density at 4.72 g/cm³. As for the uncorrected formation energy: -0.99 eV/atom. As for the symmetry: No. 156.

Unit cell a=3.9229 b=3.9229 c=7.6740 alpha=90.00 beta=90.00 gamma=120.00
With the nearest neighbours (Å) after each atom.
Element x y z (fractional)
Br1 0.0000 0.0000 0.9173  3 Y 2.91
Sb1 0.3333 0.6667 0.4027  3 Y 3.11
Y1 0.6667 0.3333 0.6799  3 Br 2.91, 3 Sb 3.11

=====

Record 3
The following is a DFT calculation (PBE) of CaHg3Pd2 after structural relaxation.

Computed properties:
The total energy is -2.507 eV/atom. The value obtained for the energy of formation from the pure elements is -0.291 eV per atom. The value obtained for the excess energy over the best structure of this formula in the dataset is 44 meV/atom. The calculation puts the density at 11.22 g/cm³. As for the symmetry: No. 166.

Unit cell a=6.4483 b=6.4483 c=7.9513 alpha=66.08 beta=66.08 gamma=60.00
With the nearest neighbours (Å) after each atom.
Element x y z (fractional)
Hg1 0.2358 0.7280 0.3083  3 Pd 2.85-2.88, 2 Hg 3.17
Hg2 0.7280 0.7280 0.3083  3 Pd 2.85-2.88, 2 Hg 3.17
Pd1 0.5000 0.0000 0.0000  4 Hg 2.85, 2 Ca 2.91
Hg3 0.7280 0.2358 0.3083  3 Pd 2.85-2.88, 2 Hg 3.17
Hg4 0.7642 0.2720 0.6917  3 Pd 2.85-2.88, 2 Hg 3.17
Pd2 0.0000 0.0000 0.0000  6 Hg 2.88
Ca1 0.2271 0.2271 0.3187  3 Pd 2.91, 9 Hg 3.23
Ca2 0.7729 0.7729 0.6813  3 Pd 2.91, 9 Hg 3.23
Pd3 0.0000 0.5000 0.0000  4 Hg 2.85, 2 Ca 2.91
Hg5 0.2720 0.2720 0.6917  3 Pd 2.85-2.88, 2 Hg 3.17
Pd4 0.5000 0.5000 0.0000  4 Hg 2.85, 2 Ca 2.91
Hg6 0.2720 0.7642 0.6917  3 Pd 2.85-2.88, 2 Hg 3.17

=====

Copy entry 3 word for word.
The following is a DFT calculation (PBE) of CaHg3Pd2 after structural relaxation.

Computed properties:
The total energy is -2.507 eV/atom. The value obtained for the energy of formation from the pure elements is -0.291 eV per atom. The value obtained for the excess energy over the best structure of this formula in the dataset is 44 meV/atom. The calculation puts the density at 11.22 g/cm³. As for the symmetry: No. 166.

Unit cell a=6.4483 b=6.4483 c=7.9513 alpha=66.08 beta=66.08 gamma=60.00
With the nearest neighbours (Å) after each atom.
Element x y z (fractional)
Hg1 0.2358 0.7280 0.3083  3 Pd 2.85-2.88, 2 Hg 3.17
Hg2 0.7280 0.7280 0.3083  3 Pd 2.85-2.88, 2 Hg 3.17
Pd1 0.5000 0.0000 0.0000  4 Hg 2.85, 2 Ca 2.91
Hg3 0.7280 0.2358 0.3083  3 Pd 2.85-2.88, 2 Hg 3.17
Hg4 0.7642 0.2720 0.6917  3 Pd 2.85-2.88, 2 Hg 3.17
Pd2 0.0000 0.0000 0.0000  6 Hg 2.88
Ca1 0.2271 0.2271 0.3187  3 Pd 2.91, 9 Hg 3.23
Ca2 0.7729 0.7729 0.6813  3 Pd 2.91, 9 Hg 3.23
Pd3 0.0000 0.5000 0.0000  4 Hg 2.85, 2 Ca 2.91
Hg5 0.2720 0.2720 0.6917  3 Pd 2.85-2.88, 2 Hg 3.17
Pd4 0.5000 0.5000 0.0000  4 Hg 2.85, 2 Ca 2.91
Hg6 0.2720 0.7642 0.6917  3 Pd 2.85-2.88, 2 Hg 3.17